Entry 1:
DFT (GGA-PBEsol) results for a relaxed structure of KFe2Ni.

```
KFe2Ni
1.0
2.610 0.000 0.000
0.000 2.610 0.000
0.000 0.000 9.102
K Fe Ni
1 2 1
Direct
0.000 0.000 0.000
0.500 0.500 0.320
0.500 0.500 0.680
0.000 0.000 0.500
```

Summary:
- magnetization (μB/cell) = 5.99
- energy of formation (eV per formula unit) = 3.10
- energy above the most stable polymorph in this dataset (kcal/mol of atoms) = 1.02
- SG = P4/mmm (123)

Entry 2:
DFT (GGA-PBEsol) results for a relaxed structure of BeP2Se.

```
BeP2Se
1.0
2.763 0.000 0.000
0.000 2.763 0.000
0.000 0.000 7.967
Be P Se
1 2 1
Direct
0.000 0.000 0.000
0.000 0.000 0.365
0.500 0.500 0.163
0.500 0.500 0.756
```

Summary:
- magnetization (μB/cell) = 0.00
- energy relative to the elements, uncorrected (kcal/mol of atoms) = 11.05
- energy above the most stable polymorph in this dataset (kcal/mol of atoms) = 4.09
- SG = P4mm (99)